1.
Density functional theory data (PBE) for Tm4B6O15 after structural relaxation.

## Properties
Its energy above the most stable polymorph in this dataset is 0.000 eV/atom. For the density of states at the Fermi level, the calculation gives 0.00 states/eV/f.u. Its uncorrected formation energy is -2966 meV per atom. Its calculated volume is 473.96 Å³ per cell. Its total DFT energy (no corrections) is -0.607 Ry per atom.

Lattice parameters (Å, degrees): 4.3784 6.2116 18.7331 95.85 90.00 110.64
Sites, in units of the cell vectors:
Tm 0.3445 0.2738 0.3026
Tm 0.3316 0.2701 0.0997
Tm 0.9293 0.2738 0.8026
Tm 0.9385 0.2701 0.5997
Tm 0.0615 0.7299 0.4003
Tm 0.0707 0.7262 0.1974
Tm 0.6684 0.7299 0.9003
Tm 0.6555 0.7262 0.6974
B 0.8018 0.1926 0.4128
B 0.7959 0.1378 0.1943
B 0.3587 0.3377 0.4744
B 0.3907 0.1926 0.9128
B 0.3419 0.1378 0.6943
B 0.9791 0.3377 0.9744
B 0.0209 0.6623 0.0256
B 0.6581 0.8622 0.3057
B 0.6093 0.8074 0.0872
B 0.6413 0.6623 0.5256
B 0.2041 0.8622 0.8057
B 0.1982 0.8074 0.5872
O 0.8401 0.0309 0.1211
O 0.4553 0.1691 0.4287
O 0.4662 0.1334 0.1969
O 0.0043 0.2534 0.4800
O 0.1908 0.0309 0.6211
O 0.7137 0.1691 0.9287
O 0.9254 0.3612 0.3610
O 0.6673 0.1334 0.6969
O 0.2491 0.2534 0.9800
O 0.0511 0.3666 0.2038
O 0.9094 0.4165 0.0497
O 0.4929 0.5835 0.4503
O 0.4358 0.3612 0.8610
O 0.3155 0.3666 0.7038
O 0.6845 0.6334 0.2962
O 0.5642 0.6388 0.1390
O 0.5071 0.4165 0.5497
O 0.0906 0.5835 0.9503
O 0.9489 0.6334 0.7962
O 0.7509 0.7466 0.0200
O 0.3327 0.8666 0.3031
O 0.0746 0.6388 0.6390
O 0.2863 0.8309 0.0713
O 0.8092 0.9691 0.3789
O 0.8681 0.0000 0.2500
O 0.9957 0.7466 0.5200
O 0.5338 0.8666 0.8031
O 0.5447 0.8309 0.5713
O 0.1599 0.9691 0.8789
O 0.1319 0.0000 0.7500

---

2.
Density functional theory data (PBE) for NdGd2Rh after structural relaxation.

## Properties
Its energy above the most stable polymorph in this dataset is 0.000 eV/atom. For the density of states at the Fermi level, the calculation gives 4.88 states/eV/f.u. Its formation enthalpy at 0 K is -379 meV/atom. Its calculated volume is 110.01 Å³ per cell. Its total DFT energy (no corrections) is -0.768 Ry per atom.

Lattice parameters (Å, degrees): 3.5431 3.5431 8.7632 90.00 90.00 90.00
Last column: magnetic moment on the atom in μB.
Sites, in units of the cell vectors:
Rh 0.5000 0.5000 0.0000  -0.05
Gd 0.0000 0.0000 0.8128  7.03
Gd 0.0000 0.0000 0.1872  7.03
Nd 0.5000 0.5000 0.5000  0.00

---

3.
Density functional theory data (PBE) for SrTaRu2 after structural relaxation.

## Properties
Its energy above the most stable polymorph in this dataset is 0.408 eV/atom. For the density of states at the Fermi level, the calculation gives 5.70 states/eV/f.u. Its formation enthalpy at 0 K is 405 meV/atom. Its calculated volume is 86.31 Å³ per cell. Its total DFT energy (no corrections) is -0.560 Ry per atom.

Lattice parameters (Å, degrees): 4.2923 3.2524 6.3908 75.35 90.00 90.00
Sites, in units of the cell vectors:
Ru 0.0000 0.2128 0.9478
Ru 0.5000 0.0854 0.2049
Sr 0.0000 0.4609 0.4550
Ta 0.5000 0.7408 0.8922

---

4.
Density functional theory data (PBE) for La6Si3N after structural relaxation.

## Properties
For the density of states at the Fermi level, the calculation gives 7.06 states/eV/f.u. Its uncorrected formation energy is -604 meV per atom. Its calculated volume is 596.97 Å³ per cell. Its total DFT energy (no corrections) is -0.442 Ry per atom.

Lattice parameters (Å, degrees): 8.4913 8.4913 8.4913 97.08 97.08 97.08
Sites, in units of the cell vectors:
La 0.3035 0.9654 0.0754
La 0.0346 0.9246 0.6965
La 0.5672 0.7921 0.4411
La 0.9246 0.6965 0.0346
La 0.4411 0.5672 0.7921
La 0.2079 0.5589 0.4328
La 0.7921 0.4411 0.5672
La 0.5589 0.4328 0.2079
La 0.0754 0.3035 0.9654
La 0.4328 0.2079 0.5589
La 0.9654 0.0754 0.3035
La 0.6965 0.0346 0.9246
Si 0.3843 0.8901 0.7177
Si 0.8901 0.7177 0.3843
Si 0.2823 0.6157 0.1099
Si 0.7177 0.3843 0.8901
Si 0.1099 0.2823 0.6157
Si 0.6157 0.1099 0.2823
N 0.0000 0.0000 0.0000
N 0.5000 0.5000 0.5000